Entry from the Alexandria database: an optimized crystal structure of Ac3Y2In3 (PBE).

Output
D(E_F) in states/eV/atom: 1.299
Space-group type: No. 71
Formation energy from the elements in eV/atom: -0.31

a b c (Å): 4.0206 5.7695 12.2869
angles (deg): 103.58 99.42 90.00
With the nearest neighbours (Å) after each atom.
Fractional positions:
In (0.0000, 0.5000, 0.0000)  8 Ac 3.52-3.53
In (0.1290, 0.1290, 0.2579)  2 Y 3.21, 4 Ac 3.52
In (0.8710, 0.8710, 0.7421)  2 Y 3.21, 4 Ac 3.52
Y (0.2649, 0.7649, 0.5297)  2 In 3.21, 4 Y 3.59
Y (0.7351, 0.2351, 0.4703)  2 In 3.21, 4 Y 3.59
Ac (0.3766, 0.3766, 0.7532)  6 In 3.52-3.53, 4 Y 3.89-3.90
Ac (0.5000, 0.0000, 0.0000)  8 In 3.52-3.64
Ac (0.6234, 0.6234, 0.2468)  6 In 3.52-3.53, 4 Y 3.89-3.90



Entry from the Alexandria database: an optimized crystal structure of Nb3OsW2 (PBE).

Output
D(E_F) in states/eV/atom: 0.538
Space-group type: No. 65
Formation energy from the elements in eV/atom: -0.15

a b c (Å): 4.5704 7.2139 6.4480
angles (deg): 90.00 90.00 71.53
With the nearest neighbours (Å) after each atom.
Fractional positions:
Os (0.6666, 0.6669, 0.0000)  8 Nb 2.79-2.80
Os (0.3334, 0.3331, 0.0000)  8 Nb 2.79-2.80
Nb (0.5000, 0.0000, 0.2498)  2 Os 2.79, 6 W 2.80
Nb (0.1670, 0.6659, 0.2497)  5 W 2.78-2.80, 3 Os 2.79-2.80
Nb (0.1671, 0.6659, 0.7503)  5 W 2.78-2.80, 3 Os 2.79-2.80
Nb (0.8330, 0.3341, 0.7503)  5 W 2.78-2.80, 3 Os 2.79-2.80
Nb (0.8329, 0.3341, 0.2497)  5 W 2.78-2.80, 3 Os 2.79-2.80
Nb (0.5000, 0.0000, 0.7502)  2 Os 2.79, 6 W 2.80
W (0.6673, 0.6654, 0.5000)  8 Nb 2.78-2.80
W (0.0000, 0.0000, 0.0000)  8 Nb 2.80
W (0.0000, 0.0000, 0.5000)  8 Nb 2.80
W (0.3327, 0.3346, 0.5000)  8 Nb 2.78-2.80



Entry from the Alexandria database: an optimized crystal structure of TcRh2Se (PBE).

Output
D(E_F) in states/eV/atom: 0.612
Space-group type: No. 166
Raw formation energy in eV/atom: 0.094

a b c (Å): 8.7295 8.7295 8.7295
angles (deg): 18.70 18.70 18.70
With the nearest neighbours (Å) after each atom.
Fractional positions:
Se (0.2500, 0.2500, 0.2500)  6 Rh 2.68, 6 Se 2.84
Rh (0.9993, 0.9993, 0.9993)  3 Se 2.68, 3 Tc 2.71, 6 Rh 2.84
Rh (0.5007, 0.5007, 0.5007)  3 Se 2.68, 3 Tc 2.71, 6 Rh 2.84
Tc (0.7500, 0.7500, 0.7500)  6 Rh 2.71, 6 Tc 2.84